[1]
# NbInCoIr | OQMD | GGA-PBE | relaxed
# VASP energy ... -7.381 eV per atom
# Excess energy over the best structure of this formula in the dataset ... 0 meV per atom
data_NbInCoIr
_chemical_formula_sum 'Nb1 In1 Co1 Ir1'
_cell_length_a 4.4713
_cell_length_b 4.4713
_cell_length_c 4.4713
_cell_angle_alpha 60.00
_cell_angle_beta 60.00
_cell_angle_gamma 60.00
_space_group_name_H-M_alt 'P 1'
_space_group_IT_number 1
_space_group_name_Hall 'P 1'
loop_
_atom_site_label
_atom_site_fract_x
_atom_site_fract_y
_atom_site_fract_z
In1 0.0000 0.0000 0.0000
Co1 0.7500 0.7500 0.7500
Nb1 0.5000 0.5000 0.5000
Ir1 0.2500 0.2500 0.2500

---

[2]
# InCoIrPd | OQMD | GGA-PBE | relaxed
# VASP energy ... -5.848 eV per atom
# Excess energy over the best structure of this formula in the dataset ... 0 meV per atom
data_InCoIrPd
_chemical_formula_sum 'In1 Co1 Ir1 Pd1'
_cell_length_a 4.4146
_cell_length_b 4.4146
_cell_length_c 4.4146
_cell_angle_alpha 60.00
_cell_angle_beta 60.00
_cell_angle_gamma 60.00
_space_group_name_H-M_alt 'P 1'
_space_group_IT_number 1
_space_group_name_Hall 'P 1'
loop_
_atom_site_label
_atom_site_fract_x
_atom_site_fract_y
_atom_site_fract_z
In1 0.0000 0.0000 0.0000
Pd1 0.2500 0.2500 0.2500
Co1 0.7500 0.7500 0.7500
Ir1 0.5000 0.5000 0.5000